Run A
# ZnHgOs

A relaxed ZnHgOs crystal (PBE, the Alexandria database).

```
data_ZnHgOs
_cell_length_a 6.0184
_cell_length_b 6.0184
_cell_length_c 6.0184
_cell_angle_alpha 90.00
_cell_angle_beta 90.00
_cell_angle_gamma 90.00
_symmetry_space_group_name_H-M 'F -4 3 m'
_symmetry_Int_Tables_number 216
_symmetry_space_group_name_Hall 'F -4 2 3'
loop_
_atom_site_label
_atom_site_fract_x
_atom_site_fract_y
_atom_site_fract_z
Zn1 0.0000 0.0000 0.0000
Hg1 0.2500 0.2500 0.2500
Os1 0.2500 0.2500 0.7500
```

Output
- V (Å³/atom) = 18.2



Run B
# ZnHgOs

A relaxed ZnHgOs crystal (PBE, the Alexandria database).

```
data_ZnHgOs
_cell_length_a 2.8747
_cell_length_b 5.0075
_cell_length_c 14.0904
_cell_angle_alpha 90.00
_cell_angle_beta 90.00
_cell_angle_gamma 90.00
_symmetry_space_group_name_H-M 'F m m 2'
_symmetry_Int_Tables_number 42
_symmetry_space_group_name_Hall 'F 2 -2'
loop_
_atom_site_label
_atom_site_fract_x
_atom_site_fract_y
_atom_site_fract_z
Zn1 0.0000 0.0000 0.0000
Hg1 0.0000 0.0000 0.3277
Os1 0.0000 0.0000 0.6505
```

Output
- V (Å³/atom) = 16.9



Run C
# ZnHgOs

A relaxed ZnHgOs crystal (PBE, the Alexandria database).

```
data_ZnHgOs
_cell_length_a 2.7194
_cell_length_b 3.9895
_cell_length_c 9.4683
_cell_angle_alpha 90.00
_cell_angle_beta 90.00
_cell_angle_gamma 90.00
_symmetry_space_group_name_H-M 'I m m 2'
_symmetry_Int_Tables_number 44
loop_
_symmetry_equiv_pos_as_xyz
'x,y,z'
'-x,-y,z'
'-x,y,z'
'x,-y,z'
'x+1/2,y+1/2,z+1/2'
'-x+1/2,-y+1/2,z+1/2'
'-x+1/2,y+1/2,z+1/2'
'x+1/2,-y+1/2,z+1/2'
loop_
_atom_site_label
_atom_site_fract_x
_atom_site_fract_y
_atom_site_fract_z
Zn1 0.0000 0.0000 0.0000
Hg1 0.0000 0.0000 0.6947
Os1 0.0000 0.0000 0.3855
```

Output
- V (Å³/atom) = 17.1



Energies, relative to the best one, in eV/atom: run A 0.375; run B 0.000; run C 0.027.



Run A
# ZnHgOs

A relaxed ZnHgOs crystal (PBE, the Alexandria database).

```
data_ZnHgOs
_cell_length_a 2.8855
_cell_length_b 2.8855
_cell_length_c 6.9561
_cell_angle_alpha 90.00
_cell_angle_beta 90.00
_cell_angle_gamma 120.00
_symmetry_space_group_name_H-M 'P 3 m 1'
_symmetry_Int_Tables_number 156
loop_
_symmetry_equiv_pos_as_xyz
'x,y,z'
'-y,x-y,z'
'-x+y,-x,z'
'-y,-x,z'
'-x+y,y,z'
'x,x-y,z'
loop_
_atom_site_label
_atom_site_fract_x
_atom_site_fract_y
_atom_site_fract_z
Zn1 0.0000 0.0000 0.0000
Hg1 0.3333 0.6667 0.3513
Os1 0.6667 0.3333 0.7078
```

Output
- V (Å³/atom) = 16.7



Run B
# ZnHgOs

A relaxed ZnHgOs crystal (PBE, the Alexandria database).

```
data_ZnHgOs
_cell_length_a 2.8620
_cell_length_b 2.8620
_cell_length_c 12.3952
_cell_angle_alpha 90.00
_cell_angle_beta 90.00
_cell_angle_gamma 90.00
_symmetry_space_group_name_H-M 'I 4 m m'
_symmetry_Int_Tables_number 107
_symmetry_space_group_name_Hall 'I 4 -2'
loop_
_atom_site_label
_atom_site_fract_x
_atom_site_fract_y
_atom_site_fract_z
Zn1 0.0000 0.0000 0.0000
Hg1 0.0000 0.0000 0.3138
Os1 0.0000 0.0000 0.6383
```

Output
- V (Å³/atom) = 16.9



Energies, relative to the best one, in eV/atom: run A 0.000; run B 0.085.



Run A
# HgP3

A relaxed HgP3 crystal (PBE, the Alexandria database).

```
data_HgP3
_cell_length_a 3.4485
_cell_length_b 3.4485
_cell_length_c 24.6454
_cell_angle_alpha 90.00
_cell_angle_beta 90.00
_cell_angle_gamma 90.00
_symmetry_space_group_name_H-M 'I 4/m m m'
_symmetry_Int_Tables_number 139
_symmetry_space_group_name_Hall '-I 4 2'
loop_
_atom_site_label
_atom_site_fract_x
_atom_site_fract_y
_atom_site_fract_z
Hg1 0.0000 0.0000 0.1078
P1 0.0000 0.0000 0.3331
P2 0.0000 0.5000 0.0000
P3 0.0000 0.5000 0.2500
```

Output
- V (Å³/atom) = 18.3



Run B
# HgP3

A relaxed HgP3 crystal (PBE, the Alexandria database).

```
data_HgP3
_cell_length_a 3.3336
_cell_length_b 3.3336
_cell_length_c 7.5218
_cell_angle_alpha 90.00
_cell_angle_beta 90.00
_cell_angle_gamma 120.00
_symmetry_space_group_name_H-M 'P -6 m 2'
_symmetry_Int_Tables_number 187
_symmetry_space_group_name_Hall 'P -6 2'
loop_
_atom_site_label
_atom_site_fract_x
_atom_site_fract_y
_atom_site_fract_z
Hg1 0.0000 0.0000 0.0000
P1 0.0000 0.0000 0.5000
P2 0.6667 0.3333 0.3003
```

Output
- V (Å³/atom) = 18.1



Run C
# HgP3

A relaxed HgP3 crystal (PBE, the Alexandria database).

```
data_HgP3
_cell_length_a 6.5313
_cell_length_b 6.5313
_cell_length_c 6.5313
_cell_angle_alpha 90.00
_cell_angle_beta 90.00
_cell_angle_gamma 90.00
_symmetry_space_group_name_H-M 'F m -3 m'
_symmetry_Int_Tables_number 225
_symmetry_space_group_name_Hall '-F 4 2 3'
loop_
_atom_site_label
_atom_site_fract_x
_atom_site_fract_y
_atom_site_fract_z
Hg1 0.0000 0.0000 0.0000
P1 0.0000 0.0000 0.5000
P2 0.2500 0.2500 0.2500
```

Output
- V (Å³/atom) = 17.4



Energies, relative to the best one, in eV/atom: run A 0.117; run B 0.000; run C 0.376.



Run A
# HgP3

A relaxed HgP3 crystal (PBE, the Alexandria database).

```
data_HgP3
_cell_length_a 5.0890
_cell_length_b 5.0890
_cell_length_c 5.0890
_cell_angle_alpha 90.00
_cell_angle_beta 90.00
_cell_angle_gamma 90.00
_symmetry_space_group_name_H-M 'P m -3 m'
_symmetry_Int_Tables_number 221
_symmetry_space_group_name_Hall '-P 4 2 3'
loop_
_atom_site_label
_atom_site_fract_x
_atom_site_fract_y
_atom_site_fract_z
Hg1 0.0000 0.0000 0.0000
P1 0.0000 0.0000 0.5000
```

Output
- V (Å³/atom) = 32.9



Run B
# HgP3

A relaxed HgP3 crystal (PBE, the Alexandria database).

```
data_HgP3
_cell_length_a 3.3531
_cell_length_b 3.3531
_cell_length_c 7.9698
_cell_angle_alpha 90.00
_cell_angle_beta 90.00
_cell_angle_gamma 90.00
_symmetry_space_group_name_H-M 'P 4/m m m'
_symmetry_Int_Tables_number 123
_symmetry_space_group_name_Hall '-P 4 2'
loop_
_atom_site_label
_atom_site_fract_x
_atom_site_fract_y
_atom_site_fract_z
Hg1 0.0000 0.0000 0.0000
P1 0.0000 0.0000 0.5000
P2 0.5000 0.5000 0.3660
```

Output
- V (Å³/atom) = 22.4



Run C
# HgP3

A relaxed HgP3 crystal (PBE, the Alexandria database).

```
data_HgP3
_cell_length_a 4.1566
_cell_length_b 4.1566
_cell_length_c 4.1566
_cell_angle_alpha 90.00
_cell_angle_beta 90.00
_cell_angle_gamma 90.00
_symmetry_space_group_name_H-M 'P m -3 m'
_symmetry_Int_Tables_number 221
_symmetry_space_group_name_Hall '-P 4 2 3'
loop_
_atom_site_label
_atom_site_fract_x
_atom_site_fract_y
_atom_site_fract_z
Hg1 0.0000 0.0000 0.0000
P1 0.0000 0.5000 0.5000
```

Output
- V (Å³/atom) = 18.0



Run D
# HgP3

A relaxed HgP3 crystal (PBE, the Alexandria database).

```
data_HgP3
_cell_length_a 3.2629
_cell_length_b 6.5305
_cell_length_c 7.7182
_cell_angle_alpha 90.00
_cell_angle_beta 90.00
_cell_angle_gamma 90.00
_symmetry_space_group_name_H-M 'I m m m'
_symmetry_Int_Tables_number 71
_symmetry_space_group_name_Hall '-I 2 2'
loop_
_atom_site_label
_atom_site_fract_x
_atom_site_fract_y
_atom_site_fract_z
Hg1 0.0000 0.0000 0.0000
P1 0.0000 0.0000 0.5000
P2 0.0000 0.5000 0.2040
```

Output
- V (Å³/atom) = 20.6



Energies, relative to the best one, in eV/atom: run A 1.391; run B 0.000; run C 0.513; run D 0.131.



Run A
# HgP3

A relaxed HgP3 crystal (PBE, the Alexandria database).

```
data_HgP3
_cell_length_a 3.5781
_cell_length_b 4.4037
_cell_length_c 5.3847
_cell_angle_alpha 90.00
_cell_angle_beta 107.39
_cell_angle_gamma 90.00
_symmetry_space_group_name_H-M 'P 1 2/m 1'
_symmetry_Int_Tables_number 10
loop_
_symmetry_equiv_pos_as_xyz
'x,y,z'
'-x,-y,-z'
'-x,y,-z'
'x,-y,z'
loop_
_atom_site_label
_atom_site_fract_x
_atom_site_fract_y
_atom_site_fract_z
Hg1 0.0000 0.0000 0.0000
P1 0.3059 0.5000 0.6363
P2 0.5000 0.0000 0.5000
```

Output
- V (Å³/atom) = 20.2



Run B
# HgP3

A relaxed HgP3 crystal (PBE, the Alexandria database).

```
data_HgP3
_cell_length_a 7.2733
_cell_length_b 7.2733
_cell_length_c 6.8106
_cell_angle_alpha 90.00
_cell_angle_beta 90.00
_cell_angle_gamma 120.00
_symmetry_space_group_name_H-M 'P 63/m m c'
_symmetry_Int_Tables_number 194
_symmetry_space_group_name_Hall '-P 6c 2c'
loop_
_atom_site_label
_atom_site_fract_x
_atom_site_fract_y
_atom_site_fract_z
Hg1 0.0000 0.0000 0.0000
Hg2 0.3333 0.6667 0.2500
P1 0.0000 0.5000 0.0000
P2 0.2210 0.4419 0.7500
```

Output
- V (Å³/atom) = 19.5



Run C
# HgP3

A relaxed HgP3 crystal (PBE, the Alexandria database).

```
data_HgP3
_cell_length_a 5.1101
_cell_length_b 5.1101
_cell_length_c 2.7297
_cell_angle_alpha 90.00
_cell_angle_beta 90.00
_cell_angle_gamma 90.00
_symmetry_space_group_name_H-M 'P 4/m m m'
_symmetry_Int_Tables_number 123
_symmetry_space_group_name_Hall '-P 4 2'
loop_
_atom_site_label
_atom_site_fract_x
_atom_site_fract_y
_atom_site_fract_z
Hg1 0.0000 0.0000 0.0000
P1 0.0000 0.5000 0.5000
P2 0.5000 0.5000 0.0000
```

Output
- V (Å³/atom) = 17.8



Run D
# HgP3

A relaxed HgP3 crystal (PBE, the Alexandria database).

```
data_HgP3
_cell_length_a 3.1763
_cell_length_b 3.1763
_cell_length_c 28.2588
_cell_angle_alpha 90.00
_cell_angle_beta 90.00
_cell_angle_gamma 120.00
_symmetry_space_group_name_H-M 'R -3 m'
_symmetry_Int_Tables_number 166
_symmetry_space_group_name_Hall '-R 3 2"'
loop_
_atom_site_label
_atom_site_fract_x
_atom_site_fract_y
_atom_site_fract_z
Hg1 0.0000 0.0000 0.0000
P1 0.0000 0.0000 0.2183
P2 0.0000 0.0000 0.5000
```

Output
- V (Å³/atom) = 20.6



Energies, relative to the best one, in eV/atom: run A 0.025; run B 0.133; run C 0.570; run D 0.000.



Run A
# HgP3

A relaxed HgP3 crystal (PBE, the Alexandria database).

```
data_HgP3
_cell_length_a 6.4520
_cell_length_b 6.2854
_cell_length_c 7.8256
_cell_angle_alpha 90.00
_cell_angle_beta 90.00
_cell_angle_gamma 90.00
_symmetry_space_group_name_H-M 'P n m a'
_symmetry_Int_Tables_number 62
loop_
_symmetry_equiv_pos_as_xyz
'x,y,z'
'-x,-y,-z'
'-x+1/2,-y,z+1/2'
'x+1/2,y,-z+1/2'
'x+1/2,-y+1/2,-z+1/2'
'-x+1/2,y+1/2,z+1/2'
'-x,y+1/2,-z'
'x,-y+1/2,z'
loop_
_atom_site_label
_atom_site_fract_x
_atom_site_fract_y
_atom_site_fract_z
Hg1 0.0709 0.2500 0.1287
P1 0.0788 0.2500 0.6038
P2 0.2031 0.0119 0.4138
```

Output
- V (Å³/atom) = 19.8



Run B
# HgP3

A relaxed HgP3 crystal (PBE, the Alexandria database).

```
data_HgP3
_cell_length_a 5.2269
_cell_length_b 5.2269
_cell_length_c 5.2269
_cell_angle_alpha 90.00
_cell_angle_beta 90.00
_cell_angle_gamma 90.00
_symmetry_space_group_name_H-M 'P m -3 n'
_symmetry_Int_Tables_number 223
_symmetry_space_group_name_Hall '-P 4n 2 3'
loop_
_atom_site_label
_atom_site_fract_x
_atom_site_fract_y
_atom_site_fract_z
Hg1 0.0000 0.0000 0.0000
P1 0.0000 0.2500 0.5000
```

Output
- V (Å³/atom) = 17.9



Energies, relative to the best one, in eV/atom: run A 0.000; run B 0.596.



Run A
# HgP3

A relaxed HgP3 crystal (PBE, the Alexandria database).

```
data_HgP3
_cell_length_a 9.4419
_cell_length_b 3.1683
_cell_length_c 6.9151
_cell_angle_alpha 90.00
_cell_angle_beta 114.41
_cell_angle_gamma 90.00
_symmetry_space_group_name_H-M 'C 1 2/m 1'
_symmetry_Int_Tables_number 12
loop_
_symmetry_equiv_pos_as_xyz
'x,y,z'
'-x,-y,-z'
'-x,y,-z'
'x,-y,z'
'x+1/2,y+1/2,z'
'-x+1/2,-y+1/2,-z'
'-x+1/2,y+1/2,-z'
'x+1/2,-y+1/2,z'
loop_
_atom_site_label
_atom_site_fract_x
_atom_site_fract_y
_atom_site_fract_z
Hg1 0.0000 0.0000 0.0000
P1 0.0000 0.5000 0.5000
P2 0.1891 0.0000 0.5665
```

Output
- V (Å³/atom) = 23.5



Run B
# HgP3

A relaxed HgP3 crystal (PBE, the Alexandria database).

```
data_HgP3
_cell_length_a 3.0759
_cell_length_b 5.1303
_cell_length_c 9.7084
_cell_angle_alpha 90.00
_cell_angle_beta 90.00
_cell_angle_gamma 90.00
_symmetry_space_group_name_H-M 'C m m m'
_symmetry_Int_Tables_number 65
_symmetry_space_group_name_Hall '-C 2 2'
loop_
_atom_site_label
_atom_site_fract_x
_atom_site_fract_y
_atom_site_fract_z
Hg1 0.0000 0.0000 0.0000
P1 0.0000 0.0000 0.5000
P2 0.0000 0.5000 0.3212
```

Output
- V (Å³/atom) = 19.2



Energies, relative to the best one, in eV/atom: run A 0.000; run B 0.203.



Run A
# Hg4P

A relaxed Hg4P crystal (PBE, the Alexandria database).

```
data_Hg4P
_cell_length_a 4.0192
_cell_length_b 4.0192
_cell_length_c 15.7887
_cell_angle_alpha 90.00
_cell_angle_beta 90.00
_cell_angle_gamma 90.00
_symmetry_space_group_name_H-M 'I 4/m m m'
_symmetry_Int_Tables_number 139
_symmetry_space_group_name_Hall '-I 4 2'
loop_
_atom_site_label
_atom_site_fract_x
_atom_site_fract_y
_atom_site_fract_z
Hg1 0.0000 0.0000 0.0896
Hg2 0.0000 0.5000 0.2500
P1 0.0000 0.0000 0.5000
```

Output
- V (Å³/atom) = 25.5



Run B
# Hg4P

A relaxed Hg4P crystal (PBE, the Alexandria database).

```
data_Hg4P
_cell_length_a 5.4004
_cell_length_b 5.4004
_cell_length_c 5.4004
_cell_angle_alpha 90.00
_cell_angle_beta 90.00
_cell_angle_gamma 90.00
_symmetry_space_group_name_H-M 'P m -3 m'
_symmetry_Int_Tables_number 221
_symmetry_space_group_name_Hall '-P 4 2 3'
loop_
_atom_site_label
_atom_site_fract_x
_atom_site_fract_y
_atom_site_fract_z
Hg1 0.0000 0.0000 0.0000
Hg2 0.0000 0.5000 0.5000
P1 0.5000 0.5000 0.5000
```

Output
- V (Å³/atom) = 31.5



Energies, relative to the best one, in eV/atom: run A 0.298; run B 0.000.



Run A
# Hg3P5

A relaxed Hg3P5 crystal (PBE, the Alexandria database).

```
data_Hg3P5
_cell_length_a 8.8268
_cell_length_b 8.8268
_cell_length_c 5.1886
_cell_angle_alpha 90.00
_cell_angle_beta 90.00
_cell_angle_gamma 120.00
_symmetry_space_group_name_H-M 'P 63/m c m'
_symmetry_Int_Tables_number 193
_symmetry_space_group_name_Hall '-P 6c 2'
loop_
_atom_site_label
_atom_site_fract_x
_atom_site_fract_y
_atom_site_fract_z
Hg1 0.0000 0.4159 0.2500
P1 0.0000 0.1445 0.7500
P2 0.3333 0.6667 0.0000
```

Output
- V (Å³/atom) = 21.9



Run B
# Hg3P5

A relaxed Hg3P5 crystal (PBE, the Alexandria database).

```
data_Hg3P5
_cell_length_a 8.0842
_cell_length_b 12.1523
_cell_length_c 9.4912
_cell_angle_alpha 90.00
_cell_angle_beta 106.40
_cell_angle_gamma 90.00
_symmetry_space_group_name_H-M 'C 1 m 1'
_symmetry_Int_Tables_number 8
loop_
_symmetry_equiv_pos_as_xyz
'x,y,z'
'x,-y,z'
'x+1/2,y+1/2,z'
'x+1/2,-y+1/2,z'
loop_
_atom_site_label
_atom_site_fract_x
_atom_site_fract_y
_atom_site_fract_z
Hg1 0.0000 0.0000 0.0000
Hg2 0.0164 0.1768 0.4333
Hg3 0.3109 0.0000 0.3321
Hg4 0.4060 0.1604 0.9608
P1 0.1292 0.1888 0.0551
P2 0.1679 0.5000 0.8041
P3 0.1806 0.4071 0.6059
P4 0.2423 0.1965 0.2985
P5 0.3921 0.0000 0.7901
P6 0.4706 0.4072 0.6609
```

Output
- V (Å³/atom) = 28.0



Energies, relative to the best one, in eV/atom: run A 0.340; run B 0.000.



Run A
# Hg2PPb

A relaxed Hg2PPb crystal (PBE, the Alexandria database).

```
data_Hg2PPb
_cell_length_a 4.3558
_cell_length_b 4.3558
_cell_length_c 10.3342
_cell_angle_alpha 90.00
_cell_angle_beta 90.00
_cell_angle_gamma 90.00
_symmetry_space_group_name_H-M 'I 4/m m m'
_symmetry_Int_Tables_number 139
_symmetry_space_group_name_Hall '-I 4 2'
loop_
_atom_site_label
_atom_site_fract_x
_atom_site_fract_y
_atom_site_fract_z
Hg1 0.0000 0.5000 0.2500
P1 0.0000 0.0000 0.0000
Pb1 0.0000 0.0000 0.5000
```

Output
- V (Å³/atom) = 24.5



Run B
# Hg2PPb

A relaxed Hg2PPb crystal (PBE, the Alexandria database).

```
data_Hg2PPb
_cell_length_a 6.0140
_cell_length_b 8.3749
_cell_length_c 4.1199
_cell_angle_alpha 90.00
_cell_angle_beta 90.00
_cell_angle_gamma 90.00
_symmetry_space_group_name_H-M 'C m m m'
_symmetry_Int_Tables_number 65
_symmetry_space_group_name_Hall '-C 2 2'
loop_
_atom_site_label
_atom_site_fract_x
_atom_site_fract_y
_atom_site_fract_z
Hg1 0.0000 0.2097 0.0000
P1 0.0000 0.0000 0.5000
Pb1 0.0000 0.5000 0.5000
```

Output
- V (Å³/atom) = 25.9



Energies, relative to the best one, in eV/atom: run A 0.144; run B 0.000.